Record 1
This record from the Alexandria database describes crystalline Ca2GePb2 at its relaxed geometry. The functional is PBE.

Density ... 6.36 g/cm3
DFT formation energy ... -31.8 kJ/mol of atoms
ΔE to the lowest computed polymorph ... 0 meV/atom
D(E_F) ... 4.195 states/eV per cell
Crystal system ... tetragonal
Symmetry ... P4/mbm (127)

a = 7.836 Å, b = 7.836 Å, c = 4.825 Å
α = 90.00°, β = 90.00°, γ = 90.00°
Sites, in units of the cell vectors:
Pb (0.140, 0.360, 0.000)
Ca (0.331, 0.169, 0.500)
Ge (0.000, 0.000, 0.000)
Ge (0.500, 0.500, 0.000)
Ca (0.669, 0.831, 0.500)
Pb (0.360, 0.860, 0.000)
Ca (0.169, 0.669, 0.500)
Ca (0.831, 0.331, 0.500)
Pb (0.640, 0.140, 0.000)
Pb (0.860, 0.640, 0.000)

=====

Record 2
This record from the Alexandria database describes crystalline TePt2Cl at its relaxed geometry. The functional is PBE.

Density ... 11.08 g/cm3
Formation energy (no corrections) ... 0.124 eV per atom
ΔE to the lowest computed polymorph ... 364 meV/atom
D(E_F) ... 2.704 states/eV per cell
Crystal system ... monoclinic
Symmetry ... P2/m (10)

a = 3.695 Å, b = 3.005 Å, c = 8.036 Å
α = 111.61°, β = 90.00°, γ = 90.00°
Sites, in units of the cell vectors:
Cl (0.500, 0.750, 0.750)
Te (0.500, 0.250, 0.250)
Pt (0.000, 0.000, 0.999)
Pt (0.000, 0.500, 0.501)